1.
Here is crystalline HoPaBiN2 at its relaxed geometry from the Alexandria database. Energies are from PBE-GGA.

Unit cell a=7.288 b=7.288 c=7.288 alpha=148.52 beta=148.52 gamma=45.12
Fractional coordinates of all 5 atoms:
Ho (0.000, 0.000, 0.000)
Pa (0.343, 0.343, 0.000)
Bi (0.669, 0.669, 0.000)
N (0.414, 0.914, 0.500)
N (0.914, 0.414, 0.500)

Calculated values
DFT total energy: -8.361 eV/atom
space group: I4mm (107)
total moment: 0.0 μB per formula unit

2.
Here is crystalline LiCaOs2 at its relaxed geometry from the Alexandria database. Energies are from PBE-GGA.

Unit cell a=5.513 b=5.513 c=4.575 alpha=114.00 beta=114.00 gamma=30.36
Fractional coordinates of all 4 atoms:
Li (0.000, 0.000, 0.000)
Ca (0.500, 0.500, 0.500)
Os (0.265, 0.265, 0.766)
Os (0.735, 0.735, 0.234)

Calculated values
E above lowest polymorph: 89 meV per atom
space group: C2/m (12)
total moment: 0.0 μB per formula unit
ΔE_f: 39 kJ/mol of atoms

3.
Here is crystalline Mg2ZrSe at its relaxed geometry from the Alexandria database. Energies are from PBE-GGA.

Unit cell a=5.893 b=5.893 c=5.893 alpha=145.27 beta=130.84 gamma=61.58
Fractional coordinates of all 4 atoms:
Mg (0.000, 0.000, 0.000)
Mg (0.712, 0.212, 0.500)
Zr (0.437, 0.437, 0.000)
Se (0.232, 0.732, 0.500)

Calculated values
DFT total energy: -4.121 eV/atom
space group: Imm2 (44)
total moment: 0.0 μB per formula unit

4.
Here is crystalline Hf5TlCo at its relaxed geometry from the Alexandria database. Energies are from PBE-GGA.

Unit cell a=6.063 b=6.063 c=9.927 alpha=110.65 beta=110.65 gamma=76.57
Fractional coordinates of all 14 atoms:
Hf (0.028, 0.238, 0.001)
Hf (0.075, 0.344, 0.745)
Hf (0.179, 0.821, 0.750)
Hf (0.238, 0.028, 0.501)
Hf (0.344, 0.075, 0.245)
Hf (0.656, 0.925, 0.755)
Hf (0.762, 0.972, 0.499)
Hf (0.821, 0.179, 0.250)
Hf (0.925, 0.656, 0.255)
Hf (0.972, 0.762, 0.999)
Tl (0.431, 0.569, 0.250)
Tl (0.569, 0.431, 0.750)
Co (0.000, 0.500, 0.500)
Co (0.500, 0.000, 0.000)

Calculated values
space group: C2/c (15)
total moment: 0.0 μB per formula unit
ΔE_f: 36 kJ/mol of atoms

5.
Here is crystalline Dy5ErIr6 at its relaxed geometry from the Alexandria database. Energies are from PBE-GGA.

Unit cell a=4.726 b=7.151 c=7.478 alpha=90.00 beta=108.35 gamma=90.00
Fractional coordinates of all 12 atoms:
Dy (0.000, 0.000, 0.000)
Dy (0.333, 0.000, 0.667)
Dy (0.334, 0.500, 0.667)
Dy (0.666, 0.500, 0.333)
Dy (0.667, 0.000, 0.333)
Er (0.000, 0.500, 0.000)
Ir (0.166, 0.251, 0.332)
Ir (0.166, 0.749, 0.332)
Ir (0.500, 0.252, 0.000)
Ir (0.500, 0.748, 0.000)
Ir (0.834, 0.251, 0.668)
Ir (0.834, 0.749, 0.668)

Calculated values
space group: P2/m (10)
total moment: 0.0 μB per formula unit
ΔE_f: -80 kJ/mol of atoms

6.
Here is crystalline BaC3 at its relaxed geometry from the Alexandria database. Energies are from PBE-GGA.

Unit cell a=3.379 b=3.379 c=5.458 alpha=90.00 beta=90.00 gamma=90.00
Fractional coordinates of all 4 atoms:
Ba (0.000, 0.000, 0.000)
C (0.000, 0.000, 0.500)
C (0.500, 0.500, 0.379)
C (0.500, 0.500, 0.621)

Calculated values
E above lowest polymorph: 1679 meV per atom
space group: P4/mmm (123)
total moment: 0.0 μB per formula unit
ΔE_f: 188 kJ/mol of atoms

7.
Here is crystalline TbTlNi at its relaxed geometry from the Alexandria database. Energies are from PBE-GGA.

Unit cell a=13.319 b=3.720 c=7.707 alpha=90.00 beta=90.00 gamma=90.00
Fractional coordinates of all 18 atoms:
Tb (0.046, 0.000, 0.219)
Tb (0.250, 0.000, 0.852)
Tb (0.454, 0.000, 0.219)
Tb (0.546, 0.000, 0.781)
Tb (0.750, 0.000, 0.148)
Tb (0.954, 0.000, 0.781)
Tl (0.118, 0.500, 0.577)
Tl (0.250, 0.500, 0.188)
Tl (0.382, 0.500, 0.577)
Tl (0.618, 0.500, 0.423)
Tl (0.750, 0.500, 0.812)
Tl (0.882, 0.500, 0.423)
Ni (0.089, 0.500, 0.944)
Ni (0.250, 0.000, 0.449)
Ni (0.411, 0.500, 0.944)
Ni (0.589, 0.500, 0.056)
Ni (0.750, 0.000, 0.551)
Ni (0.911, 0.500, 0.056)

Calculated values
space group: Pmma (51)
total moment: 0.0 μB per formula unit
ΔE_f: -35 kJ/mol of atoms

8.
Here is crystalline La2BePdAu6 at its relaxed geometry from the Alexandria database. Energies are from PBE-GGA.

Unit cell a=5.517 b=6.474 c=7.307 alpha=75.44 beta=67.89 gamma=64.85
Fractional coordinates of all 10 atoms:
La (0.211, 0.259, 0.320)
La (0.789, 0.741, 0.680)
Be (0.000, 0.000, 0.000)
Pd (0.500, 0.500, 0.500)
Au (0.234, 0.802, 0.232)
Au (0.245, 0.615, 0.894)
Au (0.269, 0.198, 0.768)
Au (0.731, 0.802, 0.232)
Au (0.755, 0.385, 0.106)
Au (0.766, 0.198, 0.768)

Calculated values
space group: P-1 (2)
total moment: 0.0 μB per formula unit
ΔE_f: -50 kJ/mol of atoms

9.
Here is crystalline Ho4CdSe7 at its relaxed geometry from the Alexandria database. Energies are from PBE-GGA.

Unit cell a=6.911 b=6.911 c=12.159 alpha=104.87 beta=104.87 gamma=33.44
Fractional coordinates of all 12 atoms:
Ho (0.000, 0.000, 0.000)
Ho (0.386, 0.386, 0.600)
Ho (0.592, 0.592, 0.384)
Ho (0.695, 0.695, 0.815)
Cd (0.821, 0.821, 0.231)
Se (0.035, 0.035, 0.756)
Se (0.229, 0.229, 0.345)
Se (0.356, 0.356, 0.857)
Se (0.449, 0.449, 0.161)
Se (0.661, 0.661, 0.031)
Se (0.736, 0.736, 0.601)
Se (0.967, 0.967, 0.456)

Calculated values
DFT total energy: -5.247 eV/atom
space group: Cm (8)
total moment: 0.0 μB per formula unit

10.
Here is crystalline ScZn2Pd9 at its relaxed geometry from the Alexandria database. Energies are from PBE-GGA.

Unit cell a=3.942 b=3.942 c=11.872 alpha=90.00 beta=90.00 gamma=90.00
Fractional coordinates of all 12 atoms:
Sc (0.000, 0.000, 0.000)
Zn (0.000, 0.000, 0.339)
Zn (0.000, 0.000, 0.661)
Pd (0.000, 0.500, 0.172)
Pd (0.000, 0.500, 0.500)
Pd (0.000, 0.500, 0.828)
Pd (0.500, 0.000, 0.172)
Pd (0.500, 0.000, 0.500)
Pd (0.500, 0.000, 0.828)
Pd (0.500, 0.500, 0.000)
Pd (0.500, 0.500, 0.335)
Pd (0.500, 0.500, 0.665)

Calculated values
space group: P4/mmm (123)
total moment: 0.0 μB per formula unit
ΔE_f: -46 kJ/mol of atoms

11.
Here is crystalline DyZn2Ge2 at its relaxed geometry from the Alexandria database. Energies are from PBE-GGA.

Unit cell a=11.537 b=11.537 c=4.060 alpha=90.00 beta=90.00 gamma=159.97
Fractional coordinates of all 10 atoms:
Dy (0.148, 0.852, 0.750)
Dy (0.852, 0.148, 0.250)
Zn (0.039, 0.961, 0.250)
Zn (0.459, 0.541, 0.250)
Zn (0.541, 0.459, 0.750)
Zn (0.961, 0.039, 0.750)
Ge (0.249, 0.751, 0.250)
Ge (0.383, 0.617, 0.750)
Ge (0.617, 0.383, 0.250)
Ge (0.751, 0.249, 0.750)

Calculated values
space group: Cmcm (63)
total moment: 0.0 μB per formula unit
ΔE_f: -37 kJ/mol of atoms

12.
Here is crystalline Ni2HgCl at its relaxed geometry from the Alexandria database. Energies are from PBE-GGA.

Unit cell a=3.143 b=3.143 c=7.558 alpha=102.08 beta=102.08 gamma=60.20
Fractional coordinates of all 4 atoms:
Ni (0.243, 0.243, 0.230)
Ni (0.757, 0.757, 0.770)
Hg (0.000, 0.000, 0.500)
Cl (0.500, 0.500, 0.000)

Calculated values
E above lowest polymorph: 180 meV per atom
space group: C2/m (12)
total moment: 0.6 μB per formula unit

13.
Here is crystalline LiIn2Re at its relaxed geometry from the Alexandria database. Energies are from PBE-GGA.

Unit cell a=5.020 b=2.892 c=5.651 alpha=90.00 beta=115.31 gamma=90.00
Fractional coordinates of all 4 atoms:
Li (0.000, 0.000, 0.000)
In (0.000, 0.000, 0.500)
In (0.500, 0.500, 0.000)
Re (0.500, 0.500, 0.500)

Calculated values
E above lowest polymorph: 126 meV per atom
space group: P2/m (10)
total moment: 0.0 μB per formula unit
ΔE_f: 35 kJ/mol of atoms

14.
Here is crystalline CoCuTe2 at its relaxed geometry from the Alexandria database. Energies are from PBE-GGA.

Unit cell a=6.674 b=6.674 c=6.674 alpha=147.47 beta=147.47 gamma=46.68
Fractional coordinates of all 4 atoms:
Co (0.000, 0.000, 0.000)
Cu (0.250, 0.750, 0.500)
Te (0.500, 0.500, 0.000)
Te (0.750, 0.250, 0.500)

Calculated values
E above lowest polymorph: 431 meV per atom
space group: I-4m2 (119)
total moment: 1.7 μB per formula unit

15.
Here is crystalline La2Cu2Re at its relaxed geometry from the Alexandria database. Energies are from PBE-GGA.

Unit cell a=7.063 b=7.063 c=4.310 alpha=90.00 beta=90.00 gamma=90.00
Fractional coordinates of all 10 atoms:
La (0.191, 0.309, 0.000)
La (0.309, 0.809, 0.000)
La (0.691, 0.191, 0.000)
La (0.809, 0.691, 0.000)
Cu (0.123, 0.623, 0.500)
Cu (0.377, 0.123, 0.500)
Cu (0.623, 0.877, 0.500)
Cu (0.877, 0.377, 0.500)
Re (0.000, 0.000, 0.500)
Re (0.500, 0.500, 0.500)

Calculated values
E above lowest polymorph: 0 meV per atom
space group: P4/mbm (127)
total moment: 0.0 μB per formula unit
ΔE_f: 25 kJ/mol of atoms

16.
Here is crystalline TaIN3 at its relaxed geometry from the Alexandria database. Energies are from PBE-GGA.

Unit cell a=3.994 b=3.994 c=3.994 alpha=90.00 beta=90.00 gamma=90.00
Fractional coordinates of all 5 atoms:
Ta (0.000, 0.000, 0.000)
I (0.500, 0.500, 0.500)
N (0.000, 0.500, 0.500)
N (0.500, 0.000, 0.500)
N (0.500, 0.500, 0.000)

Calculated values
DFT total energy: -5.469 eV/atom
space group: Pm-3m (221)
total moment: 1.4 μB per formula unit

17.
Here is crystalline Ce2Dy3Ho6Er at its relaxed geometry from the Alexandria database. Energies are from PBE-GGA.

Unit cell a=6.102 b=6.102 c=11.673 alpha=94.99 beta=94.99 gamma=119.99
Fractional coordinates of all 12 atoms:
Ce (0.166, 0.834, 0.000)
Ce (0.834, 0.166, 0.000)
Dy (0.000, 0.000, 0.500)
Dy (0.334, 0.666, 0.500)
Dy (0.666, 0.334, 0.500)
Ho (0.082, 0.417, 0.751)
Ho (0.248, 0.248, 0.249)
Ho (0.417, 0.082, 0.751)
Ho (0.583, 0.918, 0.249)
Ho (0.752, 0.752, 0.751)
Ho (0.918, 0.583, 0.249)
Er (0.500, 0.500, 0.000)

Calculated values
space group: C2/m (12)
total moment: 1.8 μB per formula unit
ΔE_f: 4 kJ/mol of atoms

18.
Here is crystalline Tl6PdPt at its relaxed geometry from the Alexandria database. Energies are from PBE-GGA.

Unit cell a=8.035 b=8.035 c=8.035 alpha=114.99 beta=114.99 gamma=114.99
Fractional coordinates of all 8 atoms:
Tl (0.035, 0.351, 0.351)
Tl (0.351, 0.035, 0.351)
Tl (0.351, 0.351, 0.035)
Tl (0.649, 0.649, 0.965)
Tl (0.649, 0.965, 0.649)
Tl (0.965, 0.649, 0.649)
Pd (0.500, 0.500, 0.500)
Pt (0.000, 0.000, 0.000)

Calculated values
space group: R-3m (166)
total moment: 0.0 μB per formula unit
ΔE_f: 11 kJ/mol of atoms

19.
Here is crystalline BaScCl2 at its relaxed geometry from the Alexandria database. Energies are from PBE-GGA.

Unit cell a=9.728 b=9.728 c=9.728 alpha=23.22 beta=23.22 gamma=23.22
Fractional coordinates of all 4 atoms:
Ba (0.000, 0.000, 0.000)
Sc (0.500, 0.500, 0.500)
Cl (0.412, 0.412, 0.412)
Cl (0.588, 0.588, 0.588)

Calculated values
E above lowest polymorph: 55 meV per atom
space group: R-3m (166)
total moment: 0.8 μB per formula unit

20.
Here is crystalline DySiPt2 at its relaxed geometry from the Alexandria database. Energies are from PBE-GGA.

Unit cell a=3.758 b=3.919 c=5.467 alpha=90.00 beta=90.00 gamma=90.00
Fractional coordinates of all 4 atoms:
Dy (0.000, 0.000, 0.000)
Si (0.500, 0.000, 0.500)
Pt (0.500, 0.500, 0.247)
Pt (0.500, 0.500, 0.753)

Calculated values
DFT total energy: -6.496 eV/atom
space group: Pmmm (47)
total moment: 0.0 μB per formula unit

21.
Here is crystalline Ca2In5Pd2Rh at its relaxed geometry from the Alexandria database. Energies are from PBE-GGA.

Unit cell a=10.717 b=10.717 c=3.834 alpha=90.00 beta=90.00 gamma=90.00
Fractional coordinates of all 20 atoms:
Ca (0.178, 0.322, 0.000)
Ca (0.322, 0.822, 0.000)
Ca (0.678, 0.178, 0.000)
Ca (0.822, 0.678, 0.000)
In (0.000, 0.500, 0.500)
In (0.056, 0.807, 0.500)
In (0.193, 0.056, 0.500)
In (0.307, 0.556, 0.500)
In (0.444, 0.307, 0.500)
In (0.500, 0.000, 0.500)
In (0.556, 0.693, 0.500)
In (0.693, 0.444, 0.500)
In (0.807, 0.944, 0.500)
In (0.944, 0.193, 0.500)
Pd (0.127, 0.627, 0.000)
Pd (0.373, 0.127, 0.000)
Pd (0.627, 0.873, 0.000)
Pd (0.873, 0.373, 0.000)
Rh (0.000, 0.000, 0.000)
Rh (0.500, 0.500, 0.000)

Calculated values
space group: P4/mbm (127)
total moment: 0.0 μB per formula unit
ΔE_f: -43 kJ/mol of atoms

22.
Here is crystalline RbScCl4 at its relaxed geometry from the Alexandria database. Energies are from PBE-GGA.

Unit cell a=9.039 b=9.039 c=6.400 alpha=107.20 beta=107.20 gamma=113.85
Fractional coordinates of all 12 atoms:
Rb (0.165, 0.835, 0.750)
Rb (0.835, 0.165, 0.250)
Sc (0.426, 0.574, 0.250)
Sc (0.574, 0.426, 0.750)
Cl (0.153, 0.522, 0.284)
Cl (0.275, 0.371, 0.787)
Cl (0.371, 0.275, 0.287)
Cl (0.478, 0.847, 0.216)
Cl (0.522, 0.153, 0.784)
Cl (0.629, 0.725, 0.713)
Cl (0.725, 0.629, 0.213)
Cl (0.847, 0.478, 0.716)

Calculated values
E above lowest polymorph: 10 meV per atom
space group: C2/c (15)
total moment: 0.0 μB per formula unit

23.
Here is crystalline ReN4 at its relaxed geometry from the Alexandria database. Energies are from PBE-GGA.

Unit cell a=3.918 b=3.918 c=3.918 alpha=90.00 beta=90.00 gamma=90.00
Fractional coordinates of all 5 atoms:
Re (0.000, 0.000, 0.000)
N (0.000, 0.000, 0.500)
N (0.000, 0.500, 0.000)
N (0.500, 0.000, 0.000)
N (0.500, 0.500, 0.500)

Calculated values
DFT total energy: -7.250 eV/atom
space group: Pm-3m (221)
total moment: 0.8 μB per formula unit

24.
Here is crystalline LiNdTeS at its relaxed geometry from the Alexandria database. Energies are from PBE-GGA.

Unit cell a=4.608 b=4.608 c=9.825 alpha=90.00 beta=90.00 gamma=90.00
Fractional coordinates of all 8 atoms:
Li (0.250, 0.750, 0.000)
Li (0.750, 0.250, 0.000)
Nd (0.250, 0.250, 0.345)
Nd (0.750, 0.750, 0.655)
Te (0.250, 0.250, 0.833)
Te (0.750, 0.750, 0.167)
S (0.250, 0.750, 0.500)
S (0.750, 0.250, 0.500)

Calculated values
DFT total energy: -4.946 eV/atom
space group: P4/nmm (129)
total moment: 0.0 μB per formula unit